Entry 1:
A relaxed SnBMo crystal. Source: the Alexandria database, functional PBE.

Properties
The total moment is 0.00 μB/atom. The energy relative to the elements comes out at 156 meV per atom. Its space group is Cm. The calculation puts the density of states at the Fermi level at 2.48 states/eV per cell. The electronic total energy comes out at -7.01 eV/atom. Its theoretical density is 7.8 Mg/m³.

a = 4.5795 Å, b = 4.5795 Å, c = 7.3945 Å
α = 102.06°, β = 102.06°, γ = 39.65°
Sites, in units of the cell vectors:
Sn 0.0000 0.0000 0.0000
Sn 0.6939 0.6939 0.7279
B 0.3134 0.3134 0.3574
B 0.8605 0.8605 0.2758
Mo 0.5910 0.5910 0.3193
Mo 0.9437 0.9437 0.5741


Entry 2:
A relaxed Sn2BMo crystal. Source: the Alexandria database, functional PBE.

Properties
The total moment is 0.47 μB/atom. The energy relative to the elements comes out at 944 meV per atom. Its space group is I-42d. The calculation puts the density of states at the Fermi level at 4.27 states/eV per cell. The electronic total energy comes out at -5.43 eV/atom. Its theoretical density is 7.8 Mg/m³.

a = 5.7827 Å, b = 5.7827 Å, c = 5.7827 Å
α = 105.52°, β = 105.52°, γ = 117.70°
Sites, in units of the cell vectors:
Sn 0.0608 0.6250 0.9358
Sn 0.3750 0.3108 0.4358
Sn 0.6892 0.1250 0.0642
Sn 0.8750 0.9392 0.5642
B 0.0000 0.0000 0.0000
B 0.7500 0.2500 0.5000
Mo 0.2500 0.7500 0.5000
Mo 0.5000 0.5000 0.0000


Entry 3:
A relaxed SrB3Mo crystal. Source: the Alexandria database, functional PBE.

Properties
The total moment is 0.00 μB/atom. The energy relative to the elements comes out at 428 meV per atom. The value obtained for the energy above the most stable polymorph in this dataset is 0.000 eV per atom. Its space group is Pm-3m. The calculation puts the density of states at the Fermi level at 2.68 states/eV per cell. The electronic total energy comes out at -6.08 eV/atom. Its theoretical density is 4.6 Mg/m³.

a = 4.2824 Å, b = 4.2824 Å, c = 4.2824 Å
α = 90.00°, β = 90.00°, γ = 90.00°
Sites, in units of the cell vectors:
Sr 0.0000 0.0000 0.0000
B 0.0000 0.5000 0.5000
B 0.5000 0.0000 0.5000
B 0.5000 0.5000 0.0000
Mo 0.5000 0.5000 0.5000


Entry 4:
A relaxed SrBMo3 crystal. Source: the Alexandria database, functional PBE.

Properties
The total moment is 0.00 μB/atom. The energy relative to the elements comes out at 768 meV per atom. The value obtained for the energy above the most stable polymorph in this dataset is 0.000 eV per atom. Its space group is Pm-3m. The calculation puts the density of states at the Fermi level at 5.82 states/eV per cell. The electronic total energy comes out at -7.40 eV/atom. Its theoretical density is 7.3 Mg/m³.

a = 4.4366 Å, b = 4.4366 Å, c = 4.4366 Å
α = 90.00°, β = 90.00°, γ = 90.00°
Sites, in units of the cell vectors:
Sr 0.0000 0.0000 0.0000
B 0.5000 0.5000 0.5000
Mo 0.0000 0.5000 0.5000
Mo 0.5000 0.0000 0.5000
Mo 0.5000 0.5000 0.0000


Entry 5:
A relaxed SrB14Mo crystal. Source: the Alexandria database, functional PBE.

Properties
The total moment is 0.00 μB/atom. The energy relative to the elements comes out at -95 meV per atom. Its space group is Imma. The calculation puts the density of states at the Fermi level at 6.85 states/eV per cell. The electronic total energy comes out at -6.72 eV/atom. Its theoretical density is 4.1 Mg/m³.

a = 7.4948 Å, b = 7.4948 Å, c = 7.4948 Å
α = 133.74°, β = 85.83°, γ = 112.41°
Sites, in units of the cell vectors:
Sr 0.3851 0.1351 0.2500
Sr 0.6149 0.8649 0.7500
B 0.0086 0.1298 0.8787
B 0.0284 0.2047 0.3303
B 0.0284 0.6982 0.8237
B 0.0860 0.6675 0.4185
B 0.1962 0.5300 0.6662
B 0.2208 0.5005 0.3998
B 0.2208 0.8209 0.7203
B 0.2489 0.8702 0.3787
B 0.2509 0.3325 0.9185
B 0.3638 0.5300 0.8338
B 0.3745 0.2047 0.6763
B 0.3745 0.6982 0.1697
B 0.3994 0.1791 0.8998
B 0.3994 0.4995 0.2203
B 0.6006 0.5005 0.7797
B 0.6006 0.8209 0.1002
B 0.6255 0.3018 0.8303
B 0.6255 0.7953 0.3237
B 0.6362 0.4700 0.1662
B 0.7491 0.6675 0.0815
B 0.7511 0.1298 0.6213
B 0.7792 0.1791 0.2797
B 0.7792 0.4995 0.6002
B 0.8038 0.4700 0.3338
B 0.9140 0.3325 0.5815
B 0.9716 0.3018 0.1763
B 0.9716 0.7953 0.6697
B 0.9914 0.8702 0.1213
Mo 0.0000 0.0000 0.5000
Mo 0.0000 0.5000 0.0000


Entry 6:
A relaxed Sr2BMo2 crystal. Source: the Alexandria database, functional PBE.

Properties
The total moment is 0.00 μB/atom. The energy relative to the elements comes out at 798 meV per atom. The value obtained for the energy above the most stable polymorph in this dataset is 0.000 eV per atom. Its space group is P4/mbm. The calculation puts the density of states at the Fermi level at 11.70 states/eV per cell. The electronic total energy comes out at -5.54 eV/atom. Its theoretical density is 6.1 Mg/m³.

a = 6.1880 Å, b = 6.1880 Å, c = 5.3930 Å
α = 90.00°, β = 90.00°, γ = 90.00°
Sites, in units of the cell vectors:
Sr 0.1763 0.3237 0.0000
Sr 0.3237 0.8237 0.0000
Sr 0.6763 0.1763 0.0000
Sr 0.8237 0.6763 0.0000
B 0.0000 0.0000 0.5000
B 0.5000 0.5000 0.5000
Mo 0.1507 0.6507 0.5000
Mo 0.3493 0.1507 0.5000
Mo 0.6507 0.8493 0.5000
Mo 0.8493 0.3493 0.5000


Entry 7:
A relaxed Sr2BMo crystal. Source: the Alexandria database, functional PBE.

Properties
The total moment is 0.46 μB/atom. The energy relative to the elements comes out at 665 meV per atom. Its space group is I-42d. The calculation puts the density of states at the Fermi level at 8.06 states/eV per cell. The electronic total energy comes out at -4.55 eV/atom. Its theoretical density is 3.6 Mg/m³.

a = 8.1015 Å, b = 8.1015 Å, c = 8.1015 Å
α = 93.94°, β = 93.94°, γ = 149.62°
Sites, in units of the cell vectors:
Sr 0.3750 0.1954 0.3204
Sr 0.8046 0.1250 0.1796
Sr 0.8750 0.0546 0.6796
Sr 0.9454 0.6250 0.8204
B 0.0000 0.0000 0.0000
B 0.7500 0.2500 0.5000
Mo 0.2500 0.7500 0.5000
Mo 0.5000 0.5000 0.0000


Entry 8:
A relaxed SrB3Mo crystal. Source: the Alexandria database, functional PBE.

Properties
The total moment is 0.00 μB/atom. The energy relative to the elements comes out at 3240 meV per atom. The value obtained for the energy above the most stable polymorph in this dataset is 2.811 eV per atom. Its space group is Pm-3m. The calculation puts the density of states at the Fermi level at 8.75 states/eV per cell. The electronic total energy comes out at -3.27 eV/atom. Its theoretical density is 4.6 Mg/m³.

a = 4.2751 Å, b = 4.2751 Å, c = 4.2751 Å
α = 90.00°, β = 90.00°, γ = 90.00°
Sites, in units of the cell vectors:
Sr 0.0000 0.0000 0.0000
B 0.0000 0.0000 0.5000
B 0.0000 0.5000 0.0000
B 0.5000 0.0000 0.0000
Mo 0.5000 0.5000 0.5000


Entry 9:
A relaxed Sr2BMo2 crystal. Source: the Alexandria database, functional PBE.

Properties
The total moment is 0.00 μB/atom. The energy relative to the elements comes out at 1336 meV per atom. The value obtained for the energy above the most stable polymorph in this dataset is 0.538 eV per atom. Its space group is I4/mmm. The calculation puts the density of states at the Fermi level at 6.09 states/eV per cell. The electronic total energy comes out at -5.00 eV/atom. Its theoretical density is 5.0 Mg/m³.

a = 5.4776 Å, b = 5.4776 Å, c = 5.4776 Å
α = 111.21°, β = 111.21°, γ = 106.05°
Sites, in units of the cell vectors:
Sr 0.2500 0.7500 0.5000
Sr 0.7500 0.2500 0.5000
B 0.0000 0.0000 0.0000
Mo 0.3280 0.3280 0.0000
Mo 0.6720 0.6720 0.0000


Entry 10:
A relaxed SrB2Mo2 crystal. Source: the Alexandria database, functional PBE.

Properties
The total moment is 0.00 μB/atom. The energy relative to the elements comes out at 78 meV per atom. The value obtained for the energy above the most stable polymorph in this dataset is 0.000 eV per atom. Its space group is I4/mmm. The calculation puts the density of states at the Fermi level at 3.36 states/eV per cell. The electronic total energy comes out at -7.26 eV/atom. Its theoretical density is 5.5 Mg/m³.

a = 6.4909 Å, b = 6.4909 Å, c = 6.4909 Å
α = 144.86°, β = 144.86°, γ = 50.54°
Sites, in units of the cell vectors:
Sr 0.0000 0.0000 0.0000
B 0.3394 0.3394 0.0000
B 0.6606 0.6606 0.0000
Mo 0.2500 0.7500 0.5000
Mo 0.7500 0.2500 0.5000


Entry 11:
A relaxed SrBMo3 crystal. Source: the Alexandria database, functional PBE.

Properties
The total moment is 0.00 μB/atom. The energy relative to the elements comes out at 3908 meV per atom. The value obtained for the energy above the most stable polymorph in this dataset is 3.140 eV per atom. Its space group is Pm-3m. The calculation puts the density of states at the Fermi level at 8.65 states/eV per cell. The electronic total energy comes out at -4.26 eV/atom. Its theoretical density is 6.0 Mg/m³.

a = 4.7470 Å, b = 4.7470 Å, c = 4.7470 Å
α = 90.00°, β = 90.00°, γ = 90.00°
Sites, in units of the cell vectors:
Sr 0.0000 0.0000 0.0000
B 0.5000 0.5000 0.5000
Mo 0.0000 0.0000 0.5000
Mo 0.0000 0.5000 0.0000
Mo 0.5000 0.0000 0.0000


Entry 12:
A relaxed Sr2B10Mo crystal. Source: the Alexandria database, functional PBE.

Properties
The total moment is 0.16 μB/atom. The energy relative to the elements comes out at -181 meV per atom. Its space group is Pbam. The calculation puts the density of states at the Fermi level at 6.45 states/eV per cell. The electronic total energy comes out at -6.41 eV/atom. Its theoretical density is 4.2 Mg/m³.

a = 5.8869 Å, b = 11.8486 Å, c = 4.2626 Å
α = 90.00°, β = 90.00°, γ = 90.00°
Sites, in units of the cell vectors:
Sr 0.1998 0.1410 0.0000
Sr 0.3002 0.6410 0.0000
Sr 0.6998 0.3590 0.0000
Sr 0.8002 0.8590 0.0000
B 0.0681 0.3062 0.5000
B 0.1129 0.9528 0.5000
B 0.1305 0.8022 0.5000
B 0.2267 0.3787 0.1993
B 0.2267 0.3787 0.8007
B 0.2733 0.8787 0.1993
B 0.2733 0.8787 0.8007
B 0.3695 0.3022 0.5000
B 0.3871 0.4528 0.5000
B 0.4319 0.8062 0.5000
B 0.5681 0.1938 0.5000
B 0.6129 0.5472 0.5000
B 0.6305 0.6978 0.5000
B 0.7267 0.1213 0.1993
B 0.7267 0.1213 0.8007
B 0.7733 0.6213 0.1993
B 0.7733 0.6213 0.8007
B 0.8695 0.1978 0.5000
B 0.8871 0.0472 0.5000
B 0.9319 0.6938 0.5000
Mo 0.0000 0.5000 0.5000
Mo 0.5000 0.0000 0.5000


Question: Number 12 is which compound?
Answer: Sr2B10Mo


Question: total moment of number 8 (SrB3Mo)?
Answer: 0.00 μB/atom


Question: Which value of energy relative to the elements does entry 12 give?
Answer: -181 meV per atom


Please write out number 2 again, unchanged.
A relaxed Sn2BMo crystal. Source: the Alexandria database, functional PBE.

Properties
The total moment is 0.47 μB/atom. The energy relative to the elements comes out at 944 meV per atom. Its space group is I-42d. The calculation puts the density of states at the Fermi level at 4.27 states/eV per cell. The electronic total energy comes out at -5.43 eV/atom. Its theoretical density is 7.8 Mg/m³.

a = 5.7827 Å, b = 5.7827 Å, c = 5.7827 Å
α = 105.52°, β = 105.52°, γ = 117.70°
Sites, in units of the cell vectors:
Sn 0.0608 0.6250 0.9358
Sn 0.3750 0.3108 0.4358
Sn 0.6892 0.1250 0.0642
Sn 0.8750 0.9392 0.5642
B 0.0000 0.0000 0.0000
B 0.7500 0.2500 0.5000
Mo 0.2500 0.7500 0.5000
Mo 0.5000 0.5000 0.0000